! NbAl2Mo PBE optimized geometry; values from VASP
! ΔE to the lowest computed polymorph: 203.1 meV per atom
&SYSTEM
  ibrav = 0, nat = 16, ntyp = 3
/
ATOMIC_SPECIES
Nb 92.91 Nb.upf
Al 26.98 Al.upf
Mo 95.94 Mo.upf
CELL_PARAMETERS angstrom
6.353 0.000 0.000
0.000 6.353 0.000
0.000 0.000 6.353
ATOMIC_POSITIONS crystal
Nb 0.000 0.000 0.000
Nb 0.000 0.500 0.500
Nb 0.500 0.000 0.500
Nb 0.500 0.500 0.000
Al 0.250 0.250 0.250
Al 0.250 0.250 0.750
Al 0.250 0.750 0.250
Al 0.250 0.750 0.750
Al 0.750 0.250 0.250
Al 0.750 0.250 0.750
Al 0.750 0.750 0.250
Al 0.750 0.750 0.750
Mo 0.000 0.000 0.500
Mo 0.000 0.500 0.000
Mo 0.500 0.000 0.000
Mo 0.500 0.500 0.500

---

Here is crystalline Nb3Al2Mo3 at its relaxed geometry from the Alexandria database. Energies are from PBE. Values from VASP.

Structure (Quantum ESPRESSO input):
```
&SYSTEM
  ibrav = 0, nat = 8, ntyp = 3
/
ATOMIC_SPECIES
Nb 92.91 Nb.upf
Al 26.98 Al.upf
Mo 95.94 Mo.upf
CELL_PARAMETERS angstrom
3.604 2.081 2.931
-3.604 2.081 2.931
0.000 -4.162 2.931
ATOMIC_POSITIONS crystal
Nb 0.000 0.748 0.252
Nb 0.252 0.000 0.748
Nb 0.748 0.252 0.000
Al 0.253 0.253 0.253
Al 0.747 0.747 0.747
Mo 0.249 0.500 0.751
Mo 0.500 0.751 0.249
Mo 0.751 0.249 0.500
```

---

| no. | energy of formation from the pure elements (kJ per mole of atoms) | density of states at the Fermi level (states/eV per atom) |
| --- | --- | --- |
| 1 | 0.49 | 0.862 |
| 2 | -22.61 | 1.215 |